# 1
{"formula": "La2Pr3Pt2", "functional": "PBE-GGA", "state": "optimized geometry", "total_energy_ev_per_atom": -5.87, "delta_e_f_ev_per_fu": -4.8, "space_group": "C2/m (12)", "cell": [[-2.314, -3.066, 0.947], [6.246, -2.191, -0.092], [-2.312, 4.246, 8.097]], "species": ["La", "Pt", "Pr", "Pr", "Pr", "La", "Pt"], "fractional_positions": [[0.834, 0.668, 0.189], [0.829, 0.659, 0.766], [0.616, 0.233, 0.431], [0.384, 0.767, 0.569], [0.500, 0.000, 0.000], [0.166, 0.332, 0.811], [0.171, 0.341, 0.234]]}

# 2
{"formula": "La3Pr4Pt4", "functional": "PBE-GGA", "state": "optimized geometry", "total_energy_ev_per_atom": -6.06, "delta_e_f_ev_per_fu": -8.6, "space_group": "Immm (71)", "cell": [[-4.759, -0.652, -0.451], [1.289, -5.786, -5.231], [1.906, -2.212, 8.891]], "species": ["La", "Pt", "La", "Pr", "Pt", "Pr", "Pt", "Pr", "Pr", "Pt", "La"], "fractional_positions": [[0.095, 0.095, 0.190], [0.500, 0.815, 0.000], [0.905, 0.905, 0.810], [0.331, 0.111, 0.661], [0.201, 0.701, 0.401], [0.669, 0.450, 0.339], [0.799, 0.299, 0.599], [0.331, 0.550, 0.661], [0.669, 0.889, 0.339], [0.500, 0.185, 0.000], [0.000, 0.500, 0.000]]}

# 3
{"formula": "La4Pr3Pt2", "functional": "PBE-GGA", "state": "optimized geometry", "total_energy_ev_per_atom": -5.59, "delta_e_f_ev_per_fu": -4.2, "space_group": "P-1 (2)", "cell": [[-4.406, -4.336, -0.603], [-1.139, -4.672, -5.860], [4.371, -6.042, 1.874]], "species": ["Pt", "La", "Pr", "Pr", "Pt", "La", "La", "La", "Pr"], "fractional_positions": [[0.779, 0.069, 0.648], [0.817, 0.789, 0.400], [0.392, 0.574, 0.709], [0.000, 0.000, 0.000], [0.221, 0.931, 0.352], [0.714, 0.742, 0.915], [0.286, 0.258, 0.085], [0.183, 0.211, 0.600], [0.608, 0.426, 0.291]]}

# 4
{"formula": "La3PrPt3", "functional": "PBE-GGA", "state": "optimized geometry", "total_energy_ev_per_atom": -6.40, "delta_e_f_ev_per_fu": -7.1, "space_group": "Pnma (62)", "cell": [[-1.236, -2.109, 3.457], [12.028, -2.933, 2.510], [1.329, 12.251, 7.948]], "species": ["Pr", "La", "La", "Pt", "Pt", "Pt", "Pt", "La", "Pr", "Pt", "La", "La", "La", "Pr", "Pt", "La", "Pt", "La", "Pr", "Pt", "La", "La", "La", "Pt", "Pt", "Pt", "Pt", "La"], "fractional_positions": [[0.750, 0.479, 0.314], [0.250, 0.751, 0.305], [0.750, 0.749, 0.805], [0.250, 0.273, 0.839], [0.750, 0.444, 0.565], [0.750, 0.227, 0.339], [0.250, 0.112, 0.605], [0.250, 0.316, 0.478], [0.250, 0.521, 0.686], [0.750, 0.888, 0.395], [0.750, 0.249, 0.695], [0.250, 0.050, 0.400], [0.250, 0.251, 0.195], [0.250, 0.021, 0.814], [0.250, 0.056, 0.065], [0.750, 0.450, 0.900], [0.250, 0.612, 0.895], [0.750, 0.950, 0.600], [0.750, 0.979, 0.186], [0.750, 0.727, 0.161], [0.250, 0.550, 0.100], [0.750, 0.684, 0.522], [0.250, 0.816, 0.022], [0.250, 0.556, 0.435], [0.750, 0.944, 0.935], [0.250, 0.773, 0.661], [0.750, 0.388, 0.105], [0.750, 0.184, 0.978]]}